# 1
VASP calculation (PBE) on a relaxed Lu2AgAs crystal.

extended XYZ file:
```
4
Lattice="3.965 0.000 0.000 1.983 3.434 0.000 1.983 1.145 7.134" Properties=species:S:1:pos:R:3 pbc="T T T"
As 0.000 0.000 0.000
Lu 1.983 1.145 1.638
Lu 5.948 3.434 5.496
Ag 3.965 2.289 3.567
```

Values from the calculation:
volume	24.29	Å³ per atom
spin magnetization	0.0	μB/f.u.

***

# 2
VASP calculation (PBE) on a relaxed MgAg2As crystal.

extended XYZ file:
```
4
Lattice="4.997 0.016 -0.026 4.038 2.945 -0.026 0.843 0.276 5.119" Properties=species:S:1:pos:R:3 pbc="T T T"
Ag 9.018 2.955 -0.044
Ag 7.409 2.428 3.856
As 4.960 1.625 2.496
Mg 2.465 0.808 1.240
```

Values from the calculation:
volume	18.77	Å³ per atom
spin magnetization	0.0	μB/f.u.

***

# 3
VASP calculation (PBE) on a relaxed MgAgAs3 crystal.

extended XYZ file:
```
5
Lattice="5.032 0.000 0.000 0.000 5.032 0.000 0.000 0.000 5.032" Properties=species:S:1:pos:R:3 pbc="T T T"
As 0.000 2.516 0.000
As 0.000 0.000 2.516
As 2.516 0.000 0.000
Mg 2.516 2.516 2.516
Ag 0.000 0.000 0.000
```

Values from the calculation:
volume	25.48	Å³ per atom
spin magnetization	0.0	μB/f.u.

***

# 4
VASP calculation (PBE) on a relaxed MgAg2As crystal.

extended XYZ file:
```
8
Lattice="4.053 0.000 0.000 0.000 4.053 0.000 2.027 2.027 9.725" Properties=species:S:1:pos:R:3 pbc="T T T"
As 0.000 0.000 0.000
As 4.053 2.027 4.862
Mg 2.027 2.027 0.000
Mg 2.027 4.053 4.862
Ag 3.064 1.013 2.431
Ag 0.989 3.040 2.431
Ag 3.040 3.015 7.294
Ag 5.066 5.091 7.294
```

Values from the calculation:
volume	19.97	Å³ per atom
spin magnetization	0.0	μB/f.u.

***

Going through the records in order, we get ΔH_f (0 K) values of -0.72, -0.04, 0.69, 0.00 eV per atom.